First-principles (PBE) data for a geometry-optimized As3AuN structure, as listed in the Alexandria database.

Computed properties:
energy above the most stable polymorph in this dataset	1303.6	meV per atom
symmetry	Pm-3m (221)
ΔE_f (raw)	2041.4	meV per atom
crystal system	cubic

a = 4.995 Å, b = 4.995 Å, c = 4.995 Å
α = 90.00°, β = 90.00°, γ = 90.00°
Atoms (fractional coordinates):
As1 0.000 0.000 0.500
As2 0.000 0.500 0.000
As3 0.500 0.000 0.000
Au1 0.000 0.000 0.000
N1 0.500 0.500 0.500